Material: Rb3Pm3MnO8
Method: DFT, PBE with a Hubbard U
State: optimized geometry

Geometry as CIF:
```
data_Rb3Pm3MnO8
_chemical_formula_sum 'Rb9 Pm9 Mn3 O24'
_space_group_name_H-M_alt 'R -3 m'
_space_group_IT_number 166
_space_group_name_Hall '-R 3 2"'
_cell_length_a 6.9689
_cell_length_b 6.9689
_cell_length_c 19.8392
_cell_angle_alpha 90.00
_cell_angle_beta 90.00
_cell_angle_gamma 120.00
loop_
_atom_site_label
_atom_site_fract_x
_atom_site_fract_y
_atom_site_fract_z
Rb1 0.0000 0.5000 0.0000
Pm1 0.0000 0.5000 0.5000
Mn1 0.0000 0.0000 0.5000
O1 0.0000 0.0000 0.2263
O2 0.0423 0.5211 0.2207
```

Output
Total magnetization (μB per formula unit): 2.9
Energy (eV/cell): -296.8